(1)
Compound: NbMoPbO6
Source: Alexandria via LeMat-Bulk
Functional: GGA+U
Structure: optimized geometry

Lattice parameters (Å, degrees): 4.928 4.928 9.860 90.00 90.00 90.00
Sites, in units of the cell vectors:
O 0.205 0.795 0.828
Mo 0.500 0.500 0.168
O 0.193 0.807 0.181
Pb 0.500 0.500 0.500
O 0.795 0.205 0.828
O 0.316 0.316 0.991
O 0.684 0.684 0.991
O 0.295 0.295 0.328
O 0.807 0.193 0.181
Nb 0.500 0.500 0.834
O 0.307 0.307 0.681
O 0.184 0.816 0.491
Pb 0.000 0.000 0.000
Nb 0.000 0.000 0.334
O 0.705 0.705 0.328
Mo 0.000 0.000 0.668
O 0.816 0.184 0.491
O 0.693 0.693 0.681

- Theoretical density: 6.8 g cm⁻³
- Symmetry: No. 102

---

(2)
Compound: NbMoPb2O6
Source: Alexandria via LeMat-Bulk
Functional: GGA+U
Structure: optimized geometry

Lattice parameters (Å, degrees): 4.303 5.813 5.813 90.00 90.00 90.00
Sites, in units of the cell vectors:
Pb 0.058 0.000 0.500
O 0.170 0.000 0.000
O 0.687 0.761 0.239
O 0.687 0.239 0.761
O 0.687 0.761 0.761
O 0.687 0.239 0.239
O 0.154 0.500 0.500
Pb 0.058 0.500 0.000
Nb 0.606 0.000 0.000
Mo 0.653 0.500 0.500

- Theoretical density: 8.0 g cm⁻³
- Symmetry: No. 99

---

(3)
Compound: PmNbMo2O8
Source: Alexandria via LeMat-Bulk
Functional: GGA+U
Structure: optimized geometry

Lattice parameters (Å, degrees): 4.892 4.889 6.661 90.76 90.75 88.80
Sites, in units of the cell vectors:
Mo 0.501 0.501 0.246
Mo 0.499 0.499 0.754
O 0.798 0.200 0.217
O 0.697 0.698 0.994
O 0.202 0.800 0.783
O 0.327 0.325 0.509
Nb 0.000 0.000 0.000
O 0.303 0.302 0.006
O 0.199 0.797 0.217
Pm 0.000 0.000 0.500
O 0.673 0.675 0.491
O 0.801 0.203 0.783

- Theoretical density: 5.8 g cm⁻³
- Symmetry: No. 2

---

(4)
Compound: RbNbMoO6
Source: Alexandria via LeMat-Bulk
Functional: GGA+U
Structure: optimized geometry

Lattice parameters (Å, degrees): 5.374 5.374 6.305 89.99 90.00 60.00
Sites, in units of the cell vectors:
O 0.005 0.597 0.679
O 0.398 0.005 0.679
O 0.592 0.015 0.321
Rb 0.000 0.000 0.004
O 0.597 0.398 0.679
O 0.015 0.393 0.321
Nb 0.667 0.667 0.455
O 0.393 0.592 0.321
Mo 0.333 0.333 0.539

- Theoretical density: 3.9 g cm⁻³
- Symmetry: No. 143

---

(5)
Compound: Rb2NbMoO6
Source: Alexandria via LeMat-Bulk
Functional: GGA+U
Structure: optimized geometry

Lattice parameters (Å, degrees): 5.784 5.747 5.748 60.43 59.67 89.90
Sites, in units of the cell vectors:
O 0.248 0.250 0.001
Mo 0.500 0.500 0.000
O 0.252 0.748 0.998
O 0.748 0.252 0.002
Rb 0.251 0.749 0.498
Nb 0.000 0.000 0.000
O 0.752 0.750 0.999
Rb 0.749 0.251 0.502
O 0.252 0.250 0.496
O 0.748 0.750 0.504

- Theoretical density: 5.6 g cm⁻³
- Symmetry: No. 12

---

(6)
Compound: RbNb2MoO8
Source: Alexandria via LeMat-Bulk
Functional: GGA+U
Structure: optimized geometry

Lattice parameters (Å, degrees): 5.536 5.444 7.395 77.11 77.02 69.29
Sites, in units of the cell vectors:
Nb 0.430 0.422 0.730
Rb 0.000 0.000 0.500
O 0.405 0.319 0.509
O 0.777 0.763 0.101
O 0.791 0.233 0.178
Mo 0.000 0.000 0.000
Nb 0.570 0.578 0.270
O 0.209 0.767 0.822
O 0.223 0.237 0.899
O 0.245 0.768 0.189
O 0.755 0.232 0.811
O 0.595 0.681 0.491

- Theoretical density: 4.1 g cm⁻³
- Symmetry: No. 2

---

(7)
Compound: NbSbMoO2
Source: Alexandria via LeMat-Bulk
Functional: GGA+U
Structure: optimized geometry

Lattice parameters (Å, degrees): 4.041 5.738 4.041 90.00 90.00 90.00
Sites, in units of the cell vectors:
Sb 0.000 0.000 0.000
O 0.500 0.000 0.000
Nb 0.000 0.500 0.000
Mo 0.500 0.500 0.500
O 0.000 0.000 0.500

- Theoretical density: 6.1 g cm⁻³
- Symmetry: No. 123

---

(8)
Compound: ScNbMoO6
Source: Alexandria via LeMat-Bulk
Functional: GGA+U
Structure: optimized geometry

Lattice parameters (Å, degrees): 5.254 5.254 9.062 90.00 90.00 120.00
Sites, in units of the cell vectors:
O 0.322 0.337 0.870
O 0.984 0.663 0.370
O 0.678 0.016 0.370
Sc 0.333 0.667 0.250
O 0.663 0.984 0.870
Mo 0.000 0.000 0.000
O 0.678 0.663 0.130
Nb 0.333 0.667 0.750
O 0.016 0.337 0.630
O 0.984 0.322 0.130
O 0.322 0.984 0.630
Sc 0.667 0.333 0.750
O 0.337 0.322 0.370
O 0.016 0.678 0.870
O 0.663 0.678 0.630
O 0.337 0.016 0.130
Nb 0.667 0.333 0.250
Mo 0.000 0.000 0.500

- Theoretical density: 5.1 g cm⁻³
- Symmetry: No. 163

---

What V values result from the calculations? In sequence: 13.302, 14.543, 13.271, 17.523, 13.541, 16.714, 18.736, 12.038 Å³/atom.
What calculated total energy values result from the calculations? In sequence: -132.298, -71.897, -96.222, -66.472, -68.837, -93.619, -28.178, -150.908 eV for the cell shown.